# 1
Compound: TbLuCuRu
Source: Alexandria
Functional: PBE-GGA
Structure: relaxed

## Properties
DFT formation energy: -365.8 meV per atom
SG: No. 216
calculated volume: 19.75 Å³/atom

Lattice parameters (Å, degrees): 6.812 6.812 6.812 90.00 90.00 90.00
Fractional coordinates of all 16 atoms:
Tb: 0.000 0.000 0.000
Tb: 0.000 0.500 0.500
Tb: 0.500 0.000 0.500
Tb: 0.500 0.500 0.000
Lu: 0.000 0.000 0.500
Lu: 0.000 0.500 0.000
Lu: 0.500 0.000 0.000
Lu: 0.500 0.500 0.500
Cu: 0.250 0.250 0.250
Cu: 0.250 0.750 0.750
Cu: 0.750 0.250 0.750
Cu: 0.750 0.750 0.250
Ru: 0.250 0.250 0.750
Ru: 0.250 0.750 0.250
Ru: 0.750 0.250 0.250
Ru: 0.750 0.750 0.750

---

# 2
Compound: CoSi2Hg
Source: Alexandria
Functional: PBE-GGA
Structure: relaxed

## Properties
SG: No. 44
formation energy from raw total energies: 93 meV/atom
calculated volume: 16.49 Å³/atom

Lattice parameters (Å, degrees): 2.734 3.755 12.850 90.00 90.00 90.00
Fractional coordinates of all 8 atoms:
Co: 0.000 0.000 0.000
Co: 0.500 0.500 0.500
Si: 0.000 0.000 0.513
Si: 0.000 0.500 0.652
Si: 0.500 0.000 0.152
Si: 0.500 0.500 0.013
Hg: 0.000 0.500 0.309
Hg: 0.500 0.000 0.809